This record from Alexandria via LeMat-Bulk describes an optimized crystal structure of BiTeSN2. The functional is PBE.

CIF file:
```
data_BiTeSN2
_chemical_formula_sum 'Bi1 Te1 S1 N2'
_symmetry_space_group_name_H-M 'P 1'
_symmetry_Int_Tables_number 1
_cell_length_a 4.198
_cell_length_b 4.198
_cell_length_c 7.028
_cell_angle_alpha 90.00
_cell_angle_beta 90.00
_cell_angle_gamma 90.00
loop_
_symmetry_equiv_pos_as_xyz
'x,y,z'
loop_
_atom_site_label
_atom_site_type_symbol
_atom_site_fract_x
_atom_site_fract_y
_atom_site_fract_z
Bi1 Bi 0.000 0.000 0.000
Te1 Te 0.000 0.000 0.500
S1 S 0.500 0.500 0.500
N1 N 0.000 0.500 0.000
N2 N 0.500 0.000 0.000
```

Output
- Uncorrected formation energy: 1.66 eV/atom
- Energy relative to the lowest polymorph listed for this composition: 503.4 meV per atom
- Crystal system: tetragonal

This record from Alexandria via LeMat-Bulk describes an optimized crystal structure of LaSbO2. The functional is PBE.

CIF file:
```
data_LaSbO2
_chemical_formula_sum 'La2 Sb2 O4'
_symmetry_space_group_name_H-M 'P 1'
_symmetry_Int_Tables_number 1
_cell_length_a 6.710
_cell_length_b 6.710
_cell_length_c 6.710
_cell_angle_alpha 129.35
_cell_angle_beta 129.35
_cell_angle_gamma 74.45
loop_
_symmetry_equiv_pos_as_xyz
'x,y,z'
loop_
_atom_site_label
_atom_site_type_symbol
_atom_site_fract_x
_atom_site_fract_y
_atom_site_fract_z
La1 La 0.000 0.000 0.000
La2 La 0.750 0.250 0.500
Sb1 Sb 0.250 0.750 0.500
Sb2 Sb 0.500 0.500 0.000
O1 O 0.083 0.625 0.958
O2 O 0.375 0.333 0.458
O3 O 0.667 0.125 0.042
O4 O 0.875 0.917 0.542
```

Output
- Uncorrected formation energy: -1.70 eV/atom
- Crystal system: tetragonal

This record from Alexandria via LeMat-Bulk describes an optimized crystal structure of BaBe2Cr. The functional is PBE.

CIF file:
```
data_BaBe2Cr
_chemical_formula_sum 'Ba1 Be2 Cr1'
_symmetry_space_group_name_H-M 'P 1'
_symmetry_Int_Tables_number 1
_cell_length_a 4.685
_cell_length_b 4.685
_cell_length_c 4.685
_cell_angle_alpha 60.00
_cell_angle_beta 60.00
_cell_angle_gamma 60.00
loop_
_symmetry_equiv_pos_as_xyz
'x,y,z'
loop_
_atom_site_label
_atom_site_type_symbol
_atom_site_fract_x
_atom_site_fract_y
_atom_site_fract_z
Ba1 Ba 0.000 0.000 0.000
Be1 Be 0.250 0.250 0.250
Be2 Be 0.750 0.750 0.750
Cr1 Cr 0.500 0.500 0.500
```

Output
- ΔE_f: 532 kJ/mol of formula units
- Energy relative to the lowest polymorph listed for this composition: 969.7 meV per atom
- Crystal system: cubic

This record from Alexandria via LeMat-Bulk describes an optimized crystal structure of LiMg2Co2. The functional is PBE.

CIF file:
```
data_LiMg2Co2
_chemical_formula_sum 'Li2 Mg4 Co4'
_symmetry_space_group_name_H-M 'P 1'
_symmetry_Int_Tables_number 1
_cell_length_a 7.643
_cell_length_b 7.643
_cell_length_c 2.749
_cell_angle_alpha 90.00
_cell_angle_beta 90.00
_cell_angle_gamma 90.00
loop_
_symmetry_equiv_pos_as_xyz
'x,y,z'
loop_
_atom_site_label
_atom_site_type_symbol
_atom_site_fract_x
_atom_site_fract_y
_atom_site_fract_z
Li1 Li 0.000 0.000 0.000
Li2 Li 0.500 0.500 0.000
Mg1 Mg 0.185 0.315 0.000
Mg2 Mg 0.315 0.815 0.000
Mg3 Mg 0.685 0.185 0.000
Mg4 Mg 0.815 0.685 0.000
Co1 Co 0.104 0.604 0.500
Co2 Co 0.396 0.104 0.500
Co3 Co 0.604 0.896 0.500
Co4 Co 0.896 0.396 0.500
```

Output
- ΔE_f: 107 kJ/mol of formula units
- Energy relative to the lowest polymorph listed for this composition: 37.5 meV per atom
- Crystal system: tetragonal

Table of density (Mg/m³), in record order: 5.317, 5.521, 4.737, 3.586